No. 1
This record from Alexandria describes an optimized crystal structure of Mg3InAg12. The functional is PBE.

As for the energy of formation from the pure elements: -0.11 eV/atom. Its density of states at the Fermi level is 0.292 states/eV/atom.

a b c (Å): 4.139 4.139 17.040
angles (deg): 90.00 90.00 90.00
Atoms (fractional coordinates):
Ag 0.500 0.500 0.252
Ag 0.000 0.500 0.376
Ag 0.500 0.000 0.872
Ag 0.000 0.500 0.128
Ag 0.500 0.500 0.500
Ag 0.500 0.500 0.000
Ag 0.500 0.000 0.128
Ag 0.500 0.000 0.376
Ag 0.500 0.000 0.624
Ag 0.000 0.500 0.624
Ag 0.500 0.500 0.748
Ag 0.000 0.500 0.872
Mg 0.000 0.000 0.251
Mg 0.000 0.000 0.500
Mg 0.000 0.000 0.749
In 0.000 0.000 0.000

=====

No. 2
This record from Alexandria describes an optimized crystal structure of CsRb2CaI5. The functional is PBE.

The calculation puts the energy relative to the elements, uncorrected at -1.536 eV/atom. Its density of states at the Fermi level is 0.000 states/eV/atom.

a b c (Å): 6.046 8.788 10.355
angles (deg): 115.11 106.97 90.00
Atoms (fractional coordinates):
I 0.371 0.119 0.743
I 0.629 0.881 0.257
I 0.629 0.377 0.257
I 0.000 0.000 0.000
I 0.371 0.623 0.743
Rb 0.794 0.794 0.589
Rb 0.206 0.206 0.411
Ca 0.500 0.000 0.000
Cs 0.000 0.500 0.000

=====

Copy entry 1 word for word.
This record from Alexandria describes an optimized crystal structure of Mg3InAg12. The functional is PBE.

As for the energy of formation from the pure elements: -0.11 eV/atom. Its density of states at the Fermi level is 0.292 states/eV/atom.

a b c (Å): 4.139 4.139 17.040
angles (deg): 90.00 90.00 90.00
Atoms (fractional coordinates):
Ag 0.500 0.500 0.252
Ag 0.000 0.500 0.376
Ag 0.500 0.000 0.872
Ag 0.000 0.500 0.128
Ag 0.500 0.500 0.500
Ag 0.500 0.500 0.000
Ag 0.500 0.000 0.128
Ag 0.500 0.000 0.376
Ag 0.500 0.000 0.624
Ag 0.000 0.500 0.624
Ag 0.500 0.500 0.748
Ag 0.000 0.500 0.872
Mg 0.000 0.000 0.251
Mg 0.000 0.000 0.500
Mg 0.000 0.000 0.749
In 0.000 0.000 0.000